Entry 1:
A geometry-optimized Cs2HgO structure. Source: Alexandria, functional GGA-PBE.

a b c (Å): 3.6923 3.6923 10.0484
angles (deg): 90.00 90.00 90.00
Site moments in Bohr magnetons follow the coordinates.
Element x y z (fractional)
1 Cs 0.0000 0.0000 0.8340  0.00
2 Cs 0.0000 0.0000 0.1660  0.00
3 Hg 0.5000 0.5000 0.5000  0.00
4 O 0.5000 0.5000 0.0000  0.20

Output
Excess energy over the best structure of this formula in the dataset ... 101.3 meV/atom
M_tot ... 0.230 μB per formula unit

Entry 2:
A geometry-optimized MnBr structure. Source: Alexandria, functional GGA-PBE.

a b c (Å): 7.7564 7.7564 3.6722
angles (deg): 90.00 90.00 90.00
Site moments in Bohr magnetons follow the coordinates.
Element x y z (fractional)
1 Mn 0.3853 0.6147 0.0000  3.82
2 Mn 0.8853 0.8853 0.5000  3.82
3 Mn 0.1147 0.1147 0.5000  3.82
4 Mn 0.6147 0.3853 0.0000  3.82
5 Br 0.2858 0.2858 0.0000  0.04
6 Br 0.7857 0.2142 0.5000  0.04
7 Br 0.2142 0.7857 0.5000  0.04
8 Br 0.7143 0.7143 0.0000  0.04

Output
M_tot ... 4.100 μB per formula unit

How do the records compare in uncorrected formation energy? In the order shown, they have -626; 57 meV per atom.